<i>
Compound: SiClF3
Source: Alexandria via LeMat-Bulk
Functional: GGA-PBE
Structure: optimized geometry

Structure (POSCAR):
```
SiClF3
1.0
7.2953 0.0000 0.0000
3.6477 6.3179 0.0000
3.6477 2.1060 4.6348
Si Cl F
2 2 6
Direct
0.1590 0.1590 0.5230 Si
0.8410 0.8410 0.4770 Si
0.3026 0.3026 0.0923 Cl
0.6974 0.6974 0.9077 Cl
0.2343 0.2344 0.6483 F
0.8830 0.2343 0.6483 F
0.7656 0.1170 0.3517 F
0.1170 0.7657 0.3517 F
0.7657 0.7656 0.3517 F
0.2344 0.8830 0.6483 F
```

## Properties
* density: 1.874 g cm⁻³

=====

<ii>
Compound: SiClF3
Source: Alexandria via LeMat-Bulk
Functional: GGA-PBE
Structure: optimized geometry

Structure (POSCAR):
```
SiClF3
1.0
-4.6833 1.8007 0.0890
-1.6674 -4.1061 -4.2383
-1.6519 -4.5421 5.2245
Si Cl F
2 2 6
Direct
0.7269 0.9105 0.3229 Si
0.2269 0.4423 0.7756 Si
0.6175 0.6024 0.2636 Cl
0.1159 0.7502 0.8352 Cl
0.5429 0.4253 0.7696 F
0.6203 0.0720 0.1680 F
0.1156 0.3665 0.5761 F
0.0428 0.9279 0.3291 F
0.1204 0.2803 0.9300 F
0.6145 0.9866 0.5221 F
```

## Properties
* density: 1.828 g cm⁻³

=====

<iii>
Compound: SiClF3
Source: Alexandria via LeMat-Bulk
Functional: GGA-PBE
Structure: optimized geometry

Structure (POSCAR):
```
SiClF3
1.0
4.3906 0.0000 0.0000
0.0000 4.3906 0.0000
0.0000 0.0000 4.3906
Si F Cl
1 3 1
Direct
0.5000 0.5000 0.5000 Si
0.0000 0.5000 0.0000 F
0.0000 0.0000 0.5000 F
0.5000 0.0000 0.0000 F
0.0000 0.0000 0.0000 Cl
```

## Properties
* density: 2.365 g cm⁻³

=====

Order from most stable to least stable according to the calculation: <ii>, <i>, <iii>

=====

<i>
Compound: SnClF
Source: Alexandria via LeMat-Bulk
Functional: GGA-PBE
Structure: optimized geometry

Structure (POSCAR):
```
SnClF
1.0
-1.6767 2.0387 -3.8311
-3.6591 -1.7408 0.6750
0.8443 3.6905 1.5944
F Sn Cl
1 1 1
Direct
0.1886 0.3333 0.6667 F
0.0950 0.0000 0.0000 Sn
0.7165 0.6667 0.3333 Cl
```

## Properties
* density: 4.229 g cm⁻³

=====

<ii>
Compound: SnClF
Source: Alexandria via LeMat-Bulk
Functional: GGA-PBE
Structure: optimized geometry

Structure (POSCAR):
```
SnClF
1.0
-0.3664 -2.4970 -3.2699
4.1140 -0.2591 -0.2631
-1.9267 -2.3906 4.6504
Cl Sn F
1 1 1
Direct
0.9913 0.9913 0.9826 Cl
0.5344 0.5344 0.0688 Sn
0.3243 0.3243 0.6485 F
```

## Properties
* density: 3.551 g cm⁻³

=====

<iii>
Compound: SnClF
Source: Alexandria via LeMat-Bulk
Functional: GGA-PBE
Structure: optimized geometry

Structure (POSCAR):
```
SnClF
1.0
-1.7327 -2.3800 2.9743
-2.2316 -2.0338 -2.9716
3.9178 -7.4888 2.1292
F Cl Sn
2 2 2
Direct
0.7758 0.7793 0.0001 F
0.2242 0.2207 0.9999 F
0.0983 0.2411 0.6593 Cl
0.9017 0.7589 0.3407 Cl
0.3719 0.8397 0.7975 Sn
0.6281 0.1603 0.2025 Sn
```

## Properties
* density: 4.233 g cm⁻³

=====

Order from most stable to least stable according to the calculation: <iii>, <i>, <ii>

=====

<i>
Compound: SnClF
Source: Alexandria via LeMat-Bulk
Functional: GGA-PBE
Structure: optimized geometry

Structure (POSCAR):
```
SnClF
1.0
-2.0847 -2.5913 -2.8768
-3.2503 -2.6479 4.7405
-7.5947 7.3398 -1.1076
Sn Cl F
4 4 4
Direct
0.2500 0.2178 0.9220 Sn
0.7500 0.7822 0.0780 Sn
0.2500 0.7178 0.5780 Sn
0.7500 0.2822 0.4220 Sn
0.7500 0.0970 0.6357 Cl
0.2500 0.9030 0.3643 Cl
0.7500 0.5970 0.8643 Cl
0.2500 0.4030 0.1357 Cl
0.2500 0.3974 0.4788 F
0.7500 0.6026 0.5212 F
0.2500 0.8974 0.0212 F
0.7500 0.1026 0.9788 F
```

## Properties
* density: 3.892 g cm⁻³

=====

<ii>
Compound: SnClF
Source: Alexandria via LeMat-Bulk
Functional: GGA-PBE
Structure: optimized geometry

Structure (POSCAR):
```
SnClF
1.0
-1.5625 3.4511 -1.2277
-0.3002 -3.8899 -4.0940
-6.5507 -1.7239 3.4910
Sn Cl F
2 2 2
Direct
0.7071 0.4142 0.2836 Sn
0.2929 0.5858 0.7164 Sn
0.6353 0.2706 0.8163 Cl
0.3647 0.7294 0.1837 Cl
0.8364 0.6729 0.5327 F
0.1636 0.3271 0.4673 F
```

## Properties
* density: 3.615 g cm⁻³

=====

<iii>
Compound: SnClF
Source: Alexandria via LeMat-Bulk
Functional: GGA-PBE
Structure: optimized geometry

Structure (POSCAR):
```
SnClF
1.0
-3.1515 1.8647 2.7935
-3.4842 -2.5654 1.5784
-0.1424 -1.2077 4.4422
F Sn Cl
1 1 1
Direct
0.5000 0.5000 0.5000 F
0.2500 0.2500 0.2500 Sn
0.0000 0.0000 0.0000 Cl
```

## Properties
* density: 4.162 g cm⁻³

=====

Order from most stable to least stable according to the calculation: <i>, <ii>, <iii>

=====

<i>
Compound: Sn2Cl2F
Source: Alexandria via LeMat-Bulk
Functional: GGA-PBE
Structure: optimized geometry

Structure (POSCAR):
```
Sn2Cl2F
1.0
5.8825 0.0000 0.0000
0.0000 5.8825 0.0000
2.9412 2.9412 3.9349
F Sn Cl
1 2 2
Direct
0.0000 0.0000 0.0000 F
0.2819 0.2819 0.4362 Sn
0.7181 0.7181 0.5638 Sn
0.7500 0.2500 0.5000 Cl
0.2500 0.7500 0.5000 Cl
```

## Properties
* density: 3.992 g cm⁻³

=====

<ii>
Compound: Sn2Cl2F
Source: Alexandria via LeMat-Bulk
Functional: GGA-PBE
Structure: optimized geometry

Structure (POSCAR):
```
Sn2Cl2F
1.0
-0.9410 5.3570 -4.4008
-6.7313 -1.7692 -0.7143
-1.1379 2.8368 3.6966
F Sn Cl
2 4 4
Direct
0.0000 0.0000 0.0000 F
0.5000 0.5000 0.0000 F
0.3184 0.8184 0.0000 Sn
0.8184 0.6816 0.0000 Sn
0.6816 0.1816 0.0000 Sn
0.1816 0.3184 0.0000 Sn
0.1780 0.6780 0.5000 Cl
0.6780 0.8220 0.5000 Cl
0.8220 0.3220 0.5000 Cl
0.3220 0.1780 0.5000 Cl
```

## Properties
* density: 4.630 g cm⁻³

=====

Order from most stable to least stable according to the calculation: <ii>, <i>

=====

<i>
Compound: SnClF2
Source: Alexandria via LeMat-Bulk
Functional: GGA-PBE
Structure: optimized geometry

Structure (POSCAR):
```
SnClF2
1.0
0.0000 3.1131 3.1131
3.1131 0.0000 3.1131
3.1131 3.1131 0.0000
F Sn Cl
2 1 1
Direct
0.2500 0.2500 0.2500 F
0.7500 0.7500 0.7500 F
0.5000 0.5000 0.5000 Sn
0.0000 0.0000 0.0000 Cl
```

## Properties
* density: 5.288 g cm⁻³

=====

<ii>
Compound: SnClF2
Source: Alexandria via LeMat-Bulk
Functional: GGA-PBE
Structure: optimized geometry

Structure (POSCAR):
```
SnClF2
1.0
2.2204 0.0000 8.5623
-1.1102 1.9229 8.5623
-1.1102 -1.9229 8.5623
F Sn Cl
2 1 1
Direct
0.8677 0.8677 0.8677 F
0.1323 0.1323 0.1323 F
0.5000 0.5000 0.5000 Sn
0.0000 0.0000 0.0000 Cl
```

## Properties
* density: 2.909 g cm⁻³

=====

<iii>
Compound: SnClF2
Source: Alexandria via LeMat-Bulk
Functional: GGA-PBE
Structure: optimized geometry

Structure (POSCAR):
```
SnClF2
1.0
-0.2180 -3.8944 2.8245
4.6694 -0.8518 -0.8141
3.9107 1.5585 6.5563
F Sn Cl
4 2 2
Direct
0.8316 0.1250 0.2500 F
0.9184 0.6250 0.2500 F
0.3750 0.1684 0.7500 F
0.8750 0.0816 0.7500 F
0.0000 0.0000 0.0000 Sn
0.7500 0.2500 0.5000 Sn
0.5000 0.5000 0.0000 Cl
0.2500 0.7500 0.5000 Cl
```

## Properties
* density: 3.927 g cm⁻³

=====

<iv>
Compound: SnClF2
Source: Alexandria via LeMat-Bulk
Functional: GGA-PBE
Structure: optimized geometry

Structure (POSCAR):
```
SnClF2
1.0
1.8087 0.0000 10.1504
-0.9043 1.5664 10.1504
-0.9043 -1.5664 10.1504
F Sn Cl
2 1 1
Direct
0.9356 0.9356 0.9356 F
0.0644 0.0644 0.0644 F
0.0000 0.0000 0.0000 Sn
0.5000 0.5000 0.5000 Cl
```

## Properties
* density: 3.699 g cm⁻³

=====

Order from most stable to least stable according to the calculation: <iii>, <ii>, <i>, <iv>

=====

<i>
Compound: TlSnCl2F
Source: Alexandria via LeMat-Bulk
Functional: GGA-PBE
Structure: optimized geometry

Structure (POSCAR):
```
TlSnCl2F
1.0
4.1780 0.0000 0.0000
0.0000 8.6520 0.5651
0.0000 -2.9336 7.5379
Tl Sn Cl F
2 2 4 2
Direct
0.2500 0.6298 0.3190 Tl
0.7500 0.3702 0.6810 Tl
0.2500 0.8270 0.8491 Sn
0.7500 0.1730 0.1509 Sn
0.7500 0.8709 0.6348 Cl
0.7500 0.7019 0.0214 Cl
0.2500 0.1291 0.3652 Cl
0.2500 0.2981 0.9786 Cl
0.2500 0.5911 0.6804 F
0.7500 0.4089 0.3196 F
```

## Properties
* density: 4.909 g cm⁻³

=====

<ii>
Compound: TlSnCl2F
Source: Alexandria via LeMat-Bulk
Functional: GGA-PBE
Structure: optimized geometry

Structure (POSCAR):
```
TlSnCl2F
1.0
-3.0323 -2.9874 -3.7839
4.8194 -1.9953 -2.2868
-0.1013 -3.5488 2.8829
Tl F Sn Cl
1 1 1 2
Direct
0.5000 0.5000 0.5000 Tl
0.0000 0.0000 0.5000 F
0.0000 0.0000 0.0000 Sn
0.0000 0.5000 0.0000 Cl
0.5000 0.0000 0.0000 Cl
```

## Properties
* density: 4.623 g cm⁻³

=====

Order from most stable to least stable according to the calculation: <i>, <ii>

=====

<i>
Compound: SrClF2
Source: Alexandria via LeMat-Bulk
Functional: GGA-PBE
Structure: optimized geometry

Structure (POSCAR):
```
SrClF2
1.0
2.3637 0.0000 6.5544
-1.1819 2.0471 6.5544
-1.1819 -2.0471 6.5544
Sr F Cl
1 2 1
Direct
0.5000 0.5000 0.5000 Sr
0.8721 0.8721 0.8721 F
0.1279 0.1279 0.1279 F
0.0000 0.0000 0.0000 Cl
```

## Properties
* density: 2.811 g cm⁻³

=====

<ii>
Compound: SrClF2
Source: Alexandria via LeMat-Bulk
Functional: GGA-PBE
Structure: optimized geometry

Structure (POSCAR):
```
SrClF2
1.0
-0.8544 1.1414 -4.4366
-3.8076 -2.6863 0.0422
-6.5899 5.3015 0.1855
Sr F Cl
2 4 2
Direct
0.0000 0.0000 0.0000 Sr
0.7500 0.2500 0.5000 Sr
0.6944 0.1250 0.2500 F
0.0556 0.6250 0.2500 F
0.3750 0.3056 0.7500 F
0.8750 0.9444 0.7500 F
0.5000 0.5000 0.0000 Cl
0.2500 0.7500 0.5000 Cl
```

## Properties
* density: 3.161 g cm⁻³

=====

Order from most stable to least stable according to the calculation: <i>, <ii>

=====

<i>
Compound: SrCl3F
Source: Alexandria via LeMat-Bulk
Functional: GGA-PBE
Structure: optimized geometry

Structure (POSCAR):
```
SrCl3F
1.0
-4.4360 -0.0618 -1.8862
-0.3647 -4.6992 1.0117
-1.8516 1.0737 4.3195
Sr F Cl
1 1 3
Direct
0.5000 0.5000 0.5000 Sr
0.0000 0.0000 0.0000 F
0.0000 0.5000 0.0000 Cl
0.0000 0.0000 0.5000 Cl
0.5000 0.0000 0.0000 Cl
```

## Properties
* density: 3.157 g cm⁻³

=====

<ii>
Compound: SrCl3F
Source: Alexandria via LeMat-Bulk
Functional: GGA-PBE
Structure: optimized geometry

Structure (POSCAR):
```
SrCl3F
1.0
-2.7333 4.7349 -1.8005
-3.5639 -3.2513 -3.1400
-3.6000 -0.3763 4.4755
Sr F Cl
1 1 3
Direct
0.0000 0.0000 0.0000 Sr
0.5000 0.5000 0.5000 F
0.0000 0.5000 0.0000 Cl
0.0000 0.0000 0.5000 Cl
0.5000 0.0000 0.0000 Cl
```

## Properties
* density: 1.854 g cm⁻³

=====

Order from most stable to least stable according to the calculation: <i>, <ii>